Arrangement w

Material: SmTmCd
Method: DFT, PBE
State: optimized geometry

Results
Crystal system: orthorhombic
Space group: Amm2 (38)

Cell and atoms, written as POSCAR:
```
SmTmCd
1.0
3.504 0.000 0.000
0.000 1.732 14.222
0.000 -1.732 14.222
Sm Tm Cd
2 2 2
direct
0.000 0.000 0.000 Sm
0.000 0.155 0.155 Sm
0.000 0.307 0.307 Tm
0.500 0.892 0.892 Tm
0.500 0.577 0.577 Cd
0.500 0.734 0.734 Cd
```

Arrangement x

Material: SmTmCd
Method: DFT, PBE
State: optimized geometry

Results
Crystal system: trigonal
Space group: P3m1 (156)

Cell and atoms, written as POSCAR:
```
SmTmCd
1.0
5.253 0.000 0.000
-2.627 4.549 0.000
0.000 0.000 3.607
Sm Tm Cd
1 1 1
direct
0.000 0.000 0.000 Sm
0.333 0.667 0.450 Tm
0.667 0.333 0.650 Cd
```

Arrangement y

Material: SmTmCd
Method: DFT, PBE
State: optimized geometry

Results
Crystal system: tetragonal
Space group: I-4m2 (119)

Cell and atoms, written as POSCAR:
```
SmTmCd
1.0
-2.582 2.582 3.646
2.582 -2.582 3.646
2.582 2.582 -3.646
Sm Tm Cd
1 1 1
direct
0.000 0.000 0.000 Sm
0.500 0.500 0.000 Tm
0.250 0.750 0.500 Cd
```

Arrangement z

Material: SmTmCd
Method: DFT, PBE
State: optimized geometry

Results
Crystal system: tetragonal
Space group: I4mm (107)

Cell and atoms, written as POSCAR:
```
SmTmCd
1.0
-1.804 1.804 6.549
1.804 -1.804 6.549
1.804 1.804 -6.549
Sm Tm Cd
1 1 1
direct
0.000 0.000 0.000 Sm
0.686 0.686 0.000 Tm
0.335 0.335 0.000 Cd
```

The most stable of them is arrangement z.

Arrangement w

Material: Sm3Tm2Cd2
Method: DFT, PBE
State: optimized geometry

Results
Crystal system: orthorhombic
Space group: Cmmm (65)

Cell and atoms, written as POSCAR:
```
Sm3Tm2Cd2
1.0
2.561 -11.417 0.000
2.561 11.417 0.000
0.000 0.000 3.483
Sm Tm Cd
3 2 2
direct
0.000 0.000 0.000 Sm
0.148 0.852 0.000 Sm
0.852 0.148 0.000 Sm
0.289 0.711 0.500 Tm
0.711 0.289 0.500 Tm
0.431 0.569 0.500 Cd
0.569 0.431 0.500 Cd
```

Arrangement x

Material: Sm3Tm2Cd2
Method: DFT, PBE
State: optimized geometry

Results
Crystal system: trigonal
Space group: R-3m (166)

Cell and atoms, written as POSCAR:
```
Sm3Tm2Cd2
1.0
2.706 1.562 7.993
-2.706 1.562 7.993
0.000 -3.125 7.993
Sm Tm Cd
3 2 2
direct
0.000 0.000 0.000 Sm
0.158 0.158 0.158 Sm
0.842 0.842 0.842 Sm
0.427 0.427 0.427 Tm
0.573 0.573 0.573 Tm
0.289 0.289 0.289 Cd
0.711 0.711 0.711 Cd
```

The most stable of them is arrangement x.

Arrangement w

Material: Sm8Tm2Cd
Method: DFT, PBE
State: optimized geometry

Results
Crystal system: monoclinic
Space group: C2/m (12)

Cell and atoms, written as POSCAR:
```
Sm8Tm2Cd
1.0
8.687 -2.723 0.000
8.687 2.723 0.000
-3.584 0.000 7.529
Sm Tm Cd
8 2 1
direct
0.020 0.020 0.227 Sm
0.162 0.162 0.705 Sm
0.331 0.331 0.594 Sm
0.393 0.393 0.066 Sm
0.607 0.607 0.934 Sm
0.669 0.669 0.406 Sm
0.838 0.838 0.295 Sm
0.980 0.980 0.773 Sm
0.201 0.201 0.149 Tm
0.799 0.799 0.851 Tm
0.500 0.500 0.500 Cd
```

Arrangement x

Material: Sm8Tm2Cd
Method: DFT, PBE
State: optimized geometry

Results
Crystal system: monoclinic
Space group: C2/m (12)

Cell and atoms, written as POSCAR:
```
Sm8Tm2Cd
1.0
5.645 -2.524 0.000
5.645 2.524 0.000
-3.143 0.000 12.268
Sm Tm Cd
8 2 1
direct
0.037 0.037 0.322 Sm
0.140 0.140 0.953 Sm
0.243 0.243 0.589 Sm
0.409 0.409 0.860 Sm
0.591 0.591 0.140 Sm
0.757 0.757 0.411 Sm
0.860 0.860 0.047 Sm
0.963 0.963 0.678 Sm
0.315 0.315 0.236 Tm
0.685 0.685 0.764 Tm
0.500 0.500 0.500 Cd
```

The most stable of them is arrangement x.